## Li4Mn7O16 (GGA-PBEsol)

Data for an optimized crystal structure of Li4Mn7O16.

Geometry as CIF:
```
data_Li4Mn7O16
_chemical_formula_sum 'Li4 Mn7 O16'
_cell_length_a 7.431
_cell_length_b 7.431
_cell_length_c 5.062
_cell_angle_alpha 102.50
_cell_angle_beta 102.50
_cell_angle_gamma 97.95
_space_group_name_H-M_alt 'P 1'
_space_group_IT_number 1
loop_
_space_group_symop_operation_xyz
'x,y,z'
loop_
_atom_site_label
_atom_site_type_symbol
_atom_site_fract_x
_atom_site_fract_y
_atom_site_fract_z
Li1 Li 0.127 0.873 0.000
Li2 Li 0.254 0.254 0.992
Li3 Li 0.746 0.746 0.008
Li4 Li 0.873 0.127 0.000
Mn1 Mn 0.122 0.369 0.505
Mn2 Mn 0.245 0.755 0.500
Mn3 Mn 0.369 0.122 0.505
Mn4 Mn 0.500 0.500 0.500
Mn5 Mn 0.631 0.878 0.495
Mn6 Mn 0.755 0.245 0.500
Mn7 Mn 0.878 0.631 0.495
O1 O 0.007 0.740 0.281
O2 O 0.116 0.625 0.708
O3 O 0.146 0.146 0.274
O4 O 0.258 0.504 0.299
O5 O 0.260 0.993 0.719
O6 O 0.367 0.367 0.713
O7 O 0.375 0.884 0.292
O8 O 0.496 0.742 0.701
O9 O 0.504 0.258 0.299
O10 O 0.625 0.116 0.708
O11 O 0.633 0.633 0.287
O12 O 0.740 0.007 0.281
O13 O 0.742 0.496 0.701
O14 O 0.854 0.854 0.726
O15 O 0.884 0.375 0.292
O16 O 0.993 0.260 0.719
```

Computed properties:
**Formation energy (no corrections)**: -47.6 eV per formula unit


## BaZnIn2Mo (GGA-PBEsol)

Data for an optimized crystal structure of BaZnIn2Mo.

Geometry as CIF:
```
data_BaZnIn2Mo
_chemical_formula_sum 'Ba1 Zn1 In2 Mo1'
_cell_length_a 5.278
_cell_length_b 5.278
_cell_length_c 5.550
_cell_angle_alpha 90.00
_cell_angle_beta 90.00
_cell_angle_gamma 90.00
_space_group_name_H-M_alt 'P 1'
_space_group_IT_number 1
loop_
_space_group_symop_operation_xyz
'x,y,z'
loop_
_atom_site_label
_atom_site_type_symbol
_atom_site_fract_x
_atom_site_fract_y
_atom_site_fract_z
Ba1 Ba 0.000 0.000 0.000
Zn1 Zn 0.500 0.500 0.000
In1 In 0.000 0.500 0.500
In2 In 0.500 0.000 0.500
Mo1 Mo 0.000 0.000 0.500
```

Computed properties:
**E_form**: 3.0 eV/f.u.


## Sb2TeSe2 (GGA-PBEsol)

Data for an optimized crystal structure of Sb2TeSe2.

Geometry as CIF:
```
data_Sb2TeSe2
_chemical_formula_sum 'Sb2 Te1 Se2'
_cell_length_a 9.848
_cell_length_b 9.848
_cell_length_c 9.848
_cell_angle_alpha 24.04
_cell_angle_beta 24.04
_cell_angle_gamma 24.04
_space_group_name_H-M_alt 'P 1'
_space_group_IT_number 1
loop_
_space_group_symop_operation_xyz
'x,y,z'
loop_
_atom_site_label
_atom_site_type_symbol
_atom_site_fract_x
_atom_site_fract_y
_atom_site_fract_z
Sb1 Sb 0.000 0.000 0.000
Sb2 Sb 0.207 0.207 0.207
Te1 Te 0.395 0.395 0.395
Se1 Se 0.603 0.603 0.603
Se2 Se 0.821 0.821 0.821
```

Computed properties:
**Offset from the most stable computed form**: 0.00 kcal/mol of atoms
**Formation energy (no corrections)**: -1.1 eV per formula unit


## Sc2TeS (GGA-PBEsol)

Data for an optimized crystal structure of Sc2TeS.

Geometry as CIF:
```
data_Sc2TeS
_chemical_formula_sum 'Sc4 Te2 S2'
_cell_length_a 7.380
_cell_length_b 7.380
_cell_length_c 7.380
_cell_angle_alpha 131.45
_cell_angle_beta 131.45
_cell_angle_gamma 71.09
_space_group_name_H-M_alt 'P 1'
_space_group_IT_number 1
loop_
_space_group_symop_operation_xyz
'x,y,z'
loop_
_atom_site_label
_atom_site_type_symbol
_atom_site_fract_x
_atom_site_fract_y
_atom_site_fract_z
Sc1 Sc 0.078 0.625 0.953
Sc2 Sc 0.375 0.328 0.453
Sc3 Sc 0.672 0.125 0.047
Sc4 Sc 0.875 0.922 0.547
Te1 Te 0.250 0.750 0.500
Te2 Te 0.500 0.500 0.000
S1 S 0.000 0.000 0.000
S2 S 0.750 0.250 0.500
```

Computed properties:
**Offset from the most stable computed form**: 0.68 kcal/mol of atoms
**Formation energy (no corrections)**: -4.6 eV per formula unit


## La4Sb3 (GGA-PBEsol)

Data for an optimized crystal structure of La4Sb3.

Geometry as CIF:
```
data_La4Sb3
_chemical_formula_sum 'La8 Sb6'
_cell_length_a 8.281
_cell_length_b 8.281
_cell_length_c 8.281
_cell_angle_alpha 109.47
_cell_angle_beta 109.47
_cell_angle_gamma 109.47
_space_group_name_H-M_alt 'P 1'
_space_group_IT_number 1
loop_
_space_group_symop_operation_xyz
'x,y,z'
loop_
_atom_site_label
_atom_site_type_symbol
_atom_site_fract_x
_atom_site_fract_y
_atom_site_fract_z
La1 La 0.000 0.143 0.500
La2 La 0.000 0.643 0.500
La3 La 0.143 0.500 0.000
La4 La 0.357 0.357 0.357
La5 La 0.500 0.000 0.143
La6 La 0.500 0.000 0.643
La7 La 0.643 0.500 0.000
La8 La 0.857 0.857 0.857
Sb1 Sb 0.125 0.875 0.250
Sb2 Sb 0.250 0.125 0.875
Sb3 Sb 0.375 0.625 0.750
Sb4 Sb 0.625 0.750 0.375
Sb5 Sb 0.750 0.375 0.625
Sb6 Sb 0.875 0.250 0.125
```

Computed properties:
**Formation energy (no corrections)**: -8.0 eV per formula unit


## RbReTc3 (GGA-PBEsol)

Data for an optimized crystal structure of RbReTc3.

Geometry as CIF:
```
data_RbReTc3
_chemical_formula_sum 'Rb1 Re1 Tc3'
_cell_length_a 4.783
_cell_length_b 4.783
_cell_length_c 4.783
_cell_angle_alpha 90.00
_cell_angle_beta 90.00
_cell_angle_gamma 90.00
_space_group_name_H-M_alt 'P 1'
_space_group_IT_number 1
loop_
_space_group_symop_operation_xyz
'x,y,z'
loop_
_atom_site_label
_atom_site_type_symbol
_atom_site_fract_x
_atom_site_fract_y
_atom_site_fract_z
Rb1 Rb 0.000 0.000 0.000
Re1 Re 0.500 0.500 0.500
Tc1 Tc 0.000 0.500 0.500
Tc2 Tc 0.500 0.000 0.500
Tc3 Tc 0.500 0.500 0.000
```

Computed properties:
**E_form**: 9.3 eV/f.u.


## MgZnPb2 (GGA-PBEsol)

Data for an optimized crystal structure of MgZnPb2.

Geometry as CIF:
```
data_MgZnPb2
_chemical_formula_sum 'Mg1 Zn1 Pb2'
_cell_length_a 3.525
_cell_length_b 3.525
_cell_length_c 7.731
_cell_angle_alpha 90.00
_cell_angle_beta 90.00
_cell_angle_gamma 90.00
_space_group_name_H-M_alt 'P 1'
_space_group_IT_number 1
loop_
_space_group_symop_operation_xyz
'x,y,z'
loop_
_atom_site_label
_atom_site_type_symbol
_atom_site_fract_x
_atom_site_fract_y
_atom_site_fract_z
Mg1 Mg 0.000 0.000 0.000
Zn1 Zn 0.500 0.500 0.818
Pb1 Pb 0.000 0.000 0.586
Pb2 Pb 0.500 0.500 0.251
```

Computed properties:
**E_form**: 0.1 eV/f.u.


## CaPAuS2 (GGA-PBEsol)

Data for an optimized crystal structure of CaPAuS2.

Geometry as CIF:
```
data_CaPAuS2
_chemical_formula_sum 'Ca1 P1 Au1 S2'
_cell_length_a 4.998
_cell_length_b 4.998
_cell_length_c 5.164
_cell_angle_alpha 90.00
_cell_angle_beta 90.00
_cell_angle_gamma 90.00
_space_group_name_H-M_alt 'P 1'
_space_group_IT_number 1
loop_
_space_group_symop_operation_xyz
'x,y,z'
loop_
_atom_site_label
_atom_site_type_symbol
_atom_site_fract_x
_atom_site_fract_y
_atom_site_fract_z
Ca1 Ca 0.000 0.000 0.000
P1 P 0.000 0.000 0.500
Au1 Au 0.500 0.500 0.500
S1 S 0.000 0.500 0.000
S2 S 0.500 0.000 0.000
```

Computed properties:
**Formation energy (no corrections)**: 4.5 eV per formula unit